No. 1
Entry from Alexandria via LeMat-Bulk: a relaxed CePmSm4 crystal (PBE-GGA).

Properties
Calculated volume: 401 Å³/cell
Total energy: -58.61 eV for the cell shown
Space-group type: C2/m (12)
DFT formation energy: 0.3 eV per formula unit
Total moment: 0.88 μB per formula unit

a = 3.636 Å, b = 6.323 Å, c = 17.580 Å
α = 96.79°, β = 90.00°, γ = 90.00°
Fractional positions:
Ce: 0.500 0.000 0.500
Ce: 0.000 0.000 0.000
Pm: 0.000 0.500 0.500
Pm: 0.500 0.500 0.000
Sm: 0.500 0.614 0.334
Sm: 0.000 0.386 0.166
Sm: 0.500 0.386 0.666
Sm: 0.000 0.614 0.834
Sm: 0.000 0.110 0.336
Sm: 0.500 0.890 0.164
Sm: 0.000 0.890 0.664
Sm: 0.500 0.110 0.836

***

No. 2
Entry from Alexandria via LeMat-Bulk: a relaxed CePm2Sm6 crystal (PBE-GGA).

Properties
Calculated volume: 615 Å³/cell
Total energy: -84.72 eV for the cell shown
Space-group type: C2/m (12)
DFT formation energy: 1.4 eV per formula unit
Total moment: 1.01 μB per formula unit

a = 7.024 Å, b = 8.882 Å, c = 15.715 Å
α = 141.12°, β = 90.00°, γ = 90.00°
Fractional positions:
Ce: 0.500 0.500 0.000
Ce: 0.000 0.000 0.500
Pm: 0.500 0.189 0.224
Pm: 0.000 0.311 0.276
Pm: 0.000 0.689 0.724
Pm: 0.500 0.811 0.776
Sm: 0.000 0.250 0.838
Sm: 0.262 0.235 0.440
Sm: 0.238 0.265 0.060
Sm: 0.738 0.235 0.440
Sm: 0.762 0.265 0.060
Sm: 0.500 0.250 0.662
Sm: 0.000 0.750 0.162
Sm: 0.738 0.765 0.560
Sm: 0.762 0.735 0.940
Sm: 0.262 0.765 0.560
Sm: 0.238 0.735 0.940
Sm: 0.500 0.750 0.338

***

No. 3
Entry from Alexandria via LeMat-Bulk: a relaxed CePm2Sm8 crystal (PBE-GGA).

Properties
Calculated volume: 371 Å³/cell
Total energy: -52.78 eV for the cell shown
Offset from the most stable computed form: 0 meV/atom
Space-group type: C2/m (12)
DFT formation energy: 0.4 eV per formula unit
Total moment: 1.00 μB per formula unit

a = 5.123 Å, b = 8.110 Å, c = 9.593 Å
α = 104.65°, β = 105.49°, γ = 90.00°
Fractional positions:
Ce: 0.500 0.000 0.000
Pm: 0.228 0.637 0.456
Pm: 0.772 0.363 0.544
Sm: 0.590 0.452 0.181
Sm: 0.320 0.091 0.640
Sm: 0.135 0.179 0.270
Sm: 0.045 0.731 0.089
Sm: 0.865 0.821 0.730
Sm: 0.680 0.909 0.360
Sm: 0.410 0.548 0.819
Sm: 0.955 0.269 0.911

***

No. 4
Entry from Alexandria via LeMat-Bulk: a relaxed CePmSm crystal (PBE-GGA).

Properties
Calculated volume: 96 Å³/cell
Total energy: -15.19 eV for the cell shown
Offset from the most stable computed form: 0 meV/atom
Space-group type: I4mm (107)
DFT formation energy: 0.2 eV per formula unit
Total moment: 0.17 μB per formula unit

a = 3.563 Å, b = 3.563 Å, c = 7.982 Å
α = 102.90°, β = 102.90°, γ = 90.00°
Fractional positions:
Ce: 0.334 0.334 0.667
Sm: 0.992 0.992 0.984
Pm: 0.674 0.674 0.348